The following is a PBE calculation of crystalline ScCd2Mo at its relaxed geometry, from the Alexandria database.

POSCAR file:
```
ScCd2Mo
1.0
4.229 0.000 0.000
0.000 4.229 0.000
0.000 0.000 4.316
Sc Cd Mo
1 2 1
direct
0.000 0.000 0.000
0.000 0.500 0.500
0.500 0.000 0.500
0.500 0.500 0.000
```

## Properties
formation energy	0.13	eV/atom
E_tot	-4.615	eV per atom
V	19.30	Å³ per atom
ΔE to the lowest computed polymorph	36	meV per atom
M_tot	0.0	μB per formula unit